An optimized crystal structure of Li2B2H7, computed with PBE-GGA.

The theoretical density is 0.9 g/cm³. The volume comes out at 7.219 Å³ per atom. The final energy comes out at -3.796 eV per atom.

```
data_Li2B2H7
_chemical_formula_sum 'Li4 B4 H14'
_symmetry_space_group_name_H-M 'C 1 2/m 1'
_symmetry_Int_Tables_number 12
_cell_length_a 6.447
_cell_length_b 7.041
_cell_length_c 3.699
_cell_angle_alpha 90.00
_cell_angle_beta 108.94
_cell_angle_gamma 90.00
loop_
_symmetry_equiv_pos_as_xyz
'x,y,z'
'-x,-y,-z'
'-x,y,-z'
'x,-y,z'
'x+1/2,y+1/2,z'
'-x+1/2,-y+1/2,-z'
'-x+1/2,y+1/2,-z'
'x+1/2,-y+1/2,z'
loop_
_atom_site_label
_atom_site_fract_x
_atom_site_fract_y
_atom_site_fract_z
Li1 0.000 0.225 0.000
B1 0.222 0.500 0.421
H1 0.000 0.500 0.500
H2 0.166 0.000 0.244
H3 0.246 0.143 0.740
```

An optimized crystal structure of LiB5H5, computed with PBE-GGA.

The theoretical density is 1.0 g/cm³. The volume comes out at 9.572 Å³ per atom. The final energy comes out at -5.017 eV per atom.

```
data_LiB5H5
_chemical_formula_sum 'Li6 B30 H30'
_symmetry_space_group_name_H-M 'P 64 2 2'
_symmetry_Int_Tables_number 181
_symmetry_space_group_name_Hall 'P 64 2 (0 0 2)'
_cell_length_a 7.0277
_cell_length_b 7.0277
_cell_length_c 14.7703
_cell_angle_alpha 90.00
_cell_angle_beta 90.00
_cell_angle_gamma 120.00
loop_
_atom_site_label
_atom_site_fract_x
_atom_site_fract_y
_atom_site_fract_z
Li1 0.0000 0.5000 0.0774
B1 0.1216 0.4897 0.7521
B2 0.1248 0.3921 0.8666
B3 0.3041 0.6521 0.8333
H1 0.0867 0.2695 0.1036
H2 0.1940 0.4620 0.6827
H3 0.2490 0.4981 0.5000
```